The following is a GGA-PBE calculation of a relaxed structure of ZrSi2N, from the Open Quantum Materials Database.

Results
**Space group**: P6_3/mmc (194)

Cell: 2.8964 2.8964 14.4922 Å, 90.00 90.00 120.00°
Positions (direct):
1 Si 0.6667 0.3333 0.5912
2 Si 0.6667 0.3333 0.9088
3 Si 0.3333 0.6667 0.4088
4 Si 0.3333 0.6667 0.0912
5 N 0.0000 0.0000 0.0000
6 N 0.0000 0.0000 0.5000
7 Zr 0.6667 0.3333 0.2500
8 Zr 0.3333 0.6667 0.7500

---

The following is a GGA-PBE calculation of a relaxed structure of Zr2SiN, from the Open Quantum Materials Database.

Results
**Space group**: P6_3/mmc (194)

Cell: 3.2593 3.2593 13.5002 Å, 90.00 90.00 120.00°
Positions (direct):
1 Si 0.6667 0.3333 0.2500
2 Si 0.3333 0.6667 0.7500
3 Zr 0.6667 0.3333 0.5958
4 Zr 0.3333 0.6667 0.0958
5 Zr 0.3333 0.6667 0.4042
6 Zr 0.6667 0.3333 0.9042
7 N 0.0000 0.0000 0.5000
8 N 0.0000 0.0000 0.0000

---

The following is a GGA-PBE calculation of a relaxed structure of SmN, from the Open Quantum Materials Database.

Results
**Space group**: P4/nmm (129)

Cell: 4.3362 4.3362 3.5138 Å, 90.00 90.00 90.00°
Positions (direct):
1 N 0.0000 0.0000 0.0000
2 N 0.5000 0.5000 0.0000
3 Sm 0.0000 0.5000 0.2631
4 Sm 0.5000 0.0000 0.7369

---

The following is a GGA-PBE calculation of a relaxed structure of SmN, from the Open Quantum Materials Database.

Results
**Space group**: F-43m (216)

Cell: 3.8211 3.8211 3.8211 Å, 60.00 60.00 60.00°
Positions (direct):
1 Sm 0.2500 0.2500 0.2500
2 N 0.0000 0.0000 0.0000

---

The following is a GGA-PBE calculation of a relaxed structure of SmN, from the Open Quantum Materials Database.

Results
**Space group**: Fm-3m (225)

Cell: 3.5726 3.5726 3.5726 Å, 60.00 60.00 60.00°
Positions (direct):
1 Sm 0.5000 0.5000 0.5000
2 N 0.0000 0.0000 0.0000

---

The following is a GGA-PBE calculation of a relaxed structure of Sm2N, from the Open Quantum Materials Database.

Results
**Space group**: Fd-3m (227)

Cell: 5.8307 5.8307 5.8307 Å, 60.00 60.00 60.00°
Positions (direct):
1 Sm 0.6250 0.6250 0.1250
2 Sm 0.6250 0.1250 0.6250
3 Sm 0.1250 0.6250 0.6250
4 Sm 0.6250 0.6250 0.6250
5 N 0.0000 0.0000 0.0000
6 N 0.2500 0.2500 0.2500

---

The following is a GGA-PBE calculation of a relaxed structure of SmN, from the Open Quantum Materials Database.

Results
**Space group**: Pmma (51)

Cell: 6.5274 3.5988 6.2847 Å, 90.00 90.00 90.00°
Positions (direct):
1 Sm 0.0000 0.5000 0.5000
2 Sm 0.7500 0.0000 0.9937
3 Sm 0.5000 0.5000 0.5000
4 Sm 0.2500 0.0000 0.0063
5 N 0.2500 0.5000 0.7950
6 N 0.2500 0.0000 0.3706
7 N 0.7500 0.0000 0.6294
8 N 0.7500 0.5000 0.2050

---

The following is a GGA-PBE calculation of a relaxed structure of SmN, from the Open Quantum Materials Database.

Results
**Space group**: P-6m2 (187)

Cell: 3.4353 3.4353 3.1245 Å, 90.00 90.00 120.00°
Positions (direct):
1 Sm 0.3333 0.6667 0.0000
2 N 0.0000 0.0000 0.5000

---

The following is a GGA-PBE calculation of a relaxed structure of SmU2Ta2N6, from the Open Quantum Materials Database.

Results
**Space group**: I4/mmm (139)

Cell: 9.8138 9.8138 9.8138 Å, 156.23 156.23 33.87°
Positions (direct):
1 U 0.8214 0.8214 0.0000
2 U 0.1786 0.1786 0.0000
3 N 0.2929 0.2929 0.0000
4 N 0.0902 0.5902 0.5000
5 N 0.5902 0.0902 0.5000
6 N 0.7071 0.7071 0.0000
7 N 0.9098 0.4098 0.5000
8 N 0.4098 0.9098 0.5000
9 Sm 0.0000 0.0000 0.0000
10 Ta 0.4005 0.4005 0.0000
11 Ta 0.5995 0.5995 0.0000

---

The following is a GGA-PBE calculation of a relaxed structure of Sm2TcN3, from the Open Quantum Materials Database.

Results
**Space group**: Immm (71)

Cell: 6.9235 6.9235 6.9235 Å, 151.56 147.71 43.56°
Positions (direct):
1 N 0.1625 0.1625 0.0000
2 N 0.8375 0.8375 0.0000
3 N 0.5000 0.0000 0.5000
4 Tc 0.0000 0.0000 0.0000
5 Sm 0.3493 0.3493 0.0000
6 Sm 0.6507 0.6507 0.0000

---

The following is a GGA-PBE calculation of a relaxed structure of SmTeN3, from the Open Quantum Materials Database.

Results
**Space group**: P2_1/m (11)

Cell: 5.8988 3.8897 7.9506 Å, 90.00 111.44 90.00°
Positions (direct):
1 N 0.3243 0.7500 0.3737
2 N 0.0944 0.2500 0.1076
3 N 0.9056 0.7500 0.8924
4 N 0.6757 0.2500 0.6263
5 N 0.7259 0.7500 0.2286
6 N 0.2741 0.2500 0.7714
7 Sm 0.4512 0.7500 0.6860
8 Sm 0.5488 0.2500 0.3140
9 Te 0.0132 0.7500 0.1744
10 Te 0.9868 0.2500 0.8256

---

The following is a GGA-PBE calculation of a relaxed structure of Sm3TeN2, from the Open Quantum Materials Database.

Results
**Space group**: P-3m1 (164)

Cell: 3.7377 3.7377 10.0099 Å, 90.00 90.00 120.00°
Positions (direct):
1 N 0.6667 0.3333 0.3510
2 N 0.3333 0.6667 0.6490
3 Sm 0.0000 0.0000 0.5000
4 Sm 0.3333 0.6667 0.2279
5 Sm 0.6667 0.3333 0.7721
6 Te 0.0000 0.0000 0.0000

---

no.,total magnetic moment (μB per formula unit),E_tot (eV/atom)
1,0.00,-6.84
2,0.00,-8.84
3,0.00,-7.64
4,0.00,-7.83
5,0.00,-8.00
6,0.03,-4.22
7,0.03,-7.42
8,0.00,-7.60
9,4.25,-10.32
10,0.02,-8.49
11,0.00,-6.54
12,0.00,-7.05